(A)
First-principles (PBE) data for a geometry-optimized YTlRe2 structure, as listed in Alexandria via LeMat-Bulk.

a b c (Å): 9.5197 9.5197 9.5197
angles (deg): 18.82 18.82 18.82
Element x y z (fractional)
Tl  0.2500  0.2500  0.2500
Y  0.7500  0.7500  0.7500
Re  0.5019  0.5019  0.5019
Re  0.9981  0.9981  0.9981



(B)
First-principles (PBE) data for a geometry-optimized YTlRe2 structure, as listed in Alexandria via LeMat-Bulk.

a b c (Å): 5.7073 5.7073 2.9582
angles (deg): 77.19 77.19 118.45
Element x y z (fractional)
Re  0.5000  0.5000  0.0000
Re  0.0000  0.0000  0.0000
Tl  0.5000  0.0000  0.5000
Y  0.0000  0.5000  0.5000



(C)
First-principles (PBE) data for a geometry-optimized YTlRe2 structure, as listed in Alexandria via LeMat-Bulk.

a b c (Å): 7.9079 7.9079 6.2424
angles (deg): 50.70 50.70 90.00
Last column: magnetic moment on the atom in μB.
Element x y z (fractional)
Y  0.5000  0.5000  0.0000  -0.03
Y  0.2500  0.7500  0.5000  -0.03
Tl  0.0000  0.0000  0.0000  -0.01
Tl  0.7500  0.2500  0.5000  -0.01
Re  0.6471  0.1250  0.2500  0.61
Re  0.8750  0.8971  0.7500  0.61
Re  0.1029  0.6250  0.2500  0.61
Re  0.3750  0.3529  0.7500  0.61



The relative energies come out as (A) 24.0; (B) 0.0; (C) 55.3, with values in kJ/mol of atoms.



(A)
First-principles (PBE) data for a geometry-optimized YTlRe2 structure, as listed in Alexandria via LeMat-Bulk.

a b c (Å): 2.9458 2.9458 9.5321
angles (deg): 90.00 90.00 111.40
Element x y z (fractional)
Tl  0.5000  0.5000  0.2500
Re  0.0000  0.0000  0.4986
Re  0.0000  0.0000  0.0014
Y  0.5000  0.5000  0.7500



(B)
First-principles (PBE) data for a geometry-optimized YTlRe2 structure, as listed in Alexandria via LeMat-Bulk.

a b c (Å): 10.0814 10.0814 10.0814
angles (deg): 17.26 17.26 17.26
Element x y z (fractional)
Re  0.9909  0.9909  0.9909
Re  0.2578  0.2578  0.2578
Tl  0.5068  0.5068  0.5068
Y  0.7445  0.7445  0.7445



The relative energies come out as (A) 29.9; (B) 0.0, with values in kJ/mol of atoms.



(A)
First-principles (PBE) data for a geometry-optimized YTlRe2 structure, as listed in Alexandria via LeMat-Bulk.

a b c (Å): 4.7751 4.7751 4.7751
angles (deg): 60.00 60.00 60.00
Element x y z (fractional)
Tl  0.5000  0.5000  0.5000
Y  0.0000  0.0000  0.0000
Re  0.7500  0.7500  0.7500
Re  0.2500  0.2500  0.2500



(B)
First-principles (PBE) data for a geometry-optimized YTlRe2 structure, as listed in Alexandria via LeMat-Bulk.

a b c (Å): 4.8825 3.1181 5.5504
angles (deg): 87.91 90.00 90.00
Element x y z (fractional)
Re  0.0000  0.2692  0.5420
Re  0.0000  0.2308  0.9580
Y  0.5000  0.7500  0.7500
Tl  0.5000  0.2500  0.2500



(C)
First-principles (PBE) data for a geometry-optimized YTlRe2 structure, as listed in Alexandria via LeMat-Bulk.

a b c (Å): 5.4018 5.4018 4.8357
angles (deg): 68.74 68.74 42.42
Element x y z (fractional)
Re  0.5075  0.5075  0.3933
Re  0.9925  0.9925  0.1067
Y  0.7500  0.7500  0.7500
Tl  0.2500  0.2500  0.2500



The relative energies come out as (A) 46.0; (B) 7.5; (C) 0.0, with values in kJ/mol of atoms.